Record 1
Compound: Tb4PmCu5
Source: the Alexandria database
Functional: PBE
Structure: optimized geometry

```
data_Tb4PmCu5
_chemical_formula_sum 'Tb4 Pm1 Cu5'
_space_group_name_H-M_alt 'P 4/m m m'
_space_group_IT_number 123
_space_group_name_Hall '-P 4 2'
_cell_length_a 3.482
_cell_length_b 3.482
_cell_length_c 17.670
_cell_angle_alpha 90.00
_cell_angle_beta 90.00
_cell_angle_gamma 90.00
loop_
_atom_site_label
_atom_site_fract_x
_atom_site_fract_y
_atom_site_fract_z
_atom_site_occupancy
Tb1 0.000 0.000 0.099 1
Tb2 0.000 0.000 0.297 1
Pm1 0.000 0.000 0.500 1
Cu1 0.500 0.500 0.000 1
Cu2 0.500 0.500 0.199 1
Cu3 0.500 0.500 0.394 1
```

Output
Raw total energy ... -4.60 eV per atom
Calculated formation energy ... -0.227 eV/atom


Record 2
Compound: SmEuDyAl
Source: the Alexandria database
Functional: PBE
Structure: optimized geometry

```
data_SmEuDyAl
_chemical_formula_sum 'Sm4 Eu4 Dy4 Al4'
_space_group_name_H-M_alt 'F -4 3 m'
_space_group_IT_number 216
_space_group_name_Hall 'F -4 2 3'
_cell_length_a 7.696
_cell_length_b 7.696
_cell_length_c 7.696
_cell_angle_alpha 90.00
_cell_angle_beta 90.00
_cell_angle_gamma 90.00
loop_
_atom_site_label
_atom_site_fract_x
_atom_site_fract_y
_atom_site_fract_z
_atom_site_occupancy
Sm1 0.000 0.000 0.000 1
Eu1 0.250 0.250 0.250 1
Dy1 0.000 0.000 0.500 1
Al1 0.250 0.250 0.750 1
```

Output
Raw total energy ... -5.87 eV per atom
Calculated formation energy ... -0.036 eV/atom


Record 3
Compound: Pr10NdY6
Source: the Alexandria database
Functional: PBE
Structure: optimized geometry

```
data_Pr10NdY6
_chemical_formula_sum 'Pr10 Nd1 Y6'
_space_group_name_H-M_alt 'P -3 1 m'
_space_group_IT_number 162
_space_group_name_Hall '-P 3 2'
_cell_length_a 9.9713
_cell_length_b 9.9713
_cell_length_c 6.9961
_cell_angle_alpha 90.00
_cell_angle_beta 90.00
_cell_angle_gamma 120.00
loop_
_atom_site_label
_atom_site_fract_x
_atom_site_fract_y
_atom_site_fract_z
_atom_site_occupancy
Pr1 0.0000 0.2773 0.3216 1
Pr2 0.3333 0.6667 0.0000 1
Pr3 0.3333 0.6667 0.5000 1
Nd1 0.0000 0.0000 0.0000 1
Y1 0.0000 0.3669 0.8153 1
```

Output
Raw total energy ... -5.24 eV per atom
Calculated formation energy ... 0.132 eV/atom


Record 4
Compound: TbGa4Ni2Pt
Source: the Alexandria database
Functional: PBE
Structure: optimized geometry

```
data_TbGa4Ni2Pt
_chemical_formula_sum 'Tb3 Ga12 Ni6 Pt3'
_space_group_name_H-M_alt 'R -3 m'
_space_group_IT_number 166
_space_group_name_Hall '-R 3 2"'
_cell_length_a 4.1528
_cell_length_b 4.1528
_cell_length_c 26.3167
_cell_angle_alpha 90.00
_cell_angle_beta 90.00
_cell_angle_gamma 120.00
loop_
_atom_site_label
_atom_site_fract_x
_atom_site_fract_y
_atom_site_fract_z
_atom_site_occupancy
Tb1 0.0000 0.0000 0.0000 1
Ga1 0.0000 0.0000 0.1257 1
Ga2 0.0000 0.0000 0.3994 1
Ni1 0.0000 0.0000 0.2331 1
Pt1 0.0000 0.0000 0.5000 1
```

Output
Raw total energy ... -4.80 eV per atom
Calculated formation energy ... -0.507 eV/atom


Record 5
Compound: RbTe2
Source: the Alexandria database
Functional: PBE
Structure: optimized geometry

```
data_RbTe2
_chemical_formula_sum 'Rb2 Te4'
_space_group_name_H-M_alt 'P -1'
_space_group_IT_number 2
_cell_length_a 6.456
_cell_length_b 6.873
_cell_length_c 7.303
_cell_angle_alpha 116.75
_cell_angle_beta 92.89
_cell_angle_gamma 113.79
loop_
_space_group_symop_operation_xyz
'x,y,z'
'-x,-y,-z'
loop_
_atom_site_label
_atom_site_fract_x
_atom_site_fract_y
_atom_site_fract_z
_atom_site_occupancy
Rb1 0.166 0.438 0.238 1
Te1 0.222 0.092 0.663 1
Te2 0.442 0.023 0.194 1
```

Output
Raw total energy ... -3.00 eV per atom
ΔE_f (raw) ... -0.58 eV per atom
ΔE to the lowest computed polymorph ... 5.4 meV/atom


Record 6
Compound: KZnSb2I
Source: the Alexandria database
Functional: PBE
Structure: optimized geometry

```
data_KZnSb2I
_chemical_formula_sum 'K1 Zn1 Sb2 I1'
_space_group_name_H-M_alt 'P 4/m m m'
_space_group_IT_number 123
_space_group_name_Hall '-P 4 2'
_cell_length_a 5.190
_cell_length_b 5.190
_cell_length_c 7.015
_cell_angle_alpha 90.00
_cell_angle_beta 90.00
_cell_angle_gamma 90.00
loop_
_atom_site_label
_atom_site_fract_x
_atom_site_fract_y
_atom_site_fract_z
_atom_site_occupancy
K1 0.000 0.000 0.000 1
Zn1 0.500 0.500 0.500 1
Sb1 0.000 0.500 0.500 1
I1 0.500 0.500 0.000 1
```

Output
Raw total energy ... -2.48 eV per atom
ΔE_f (raw) ... -0.05 eV per atom
ΔE to the lowest computed polymorph ... 0.0 meV/atom


Record 7
Compound: CaGa3PtAu
Source: the Alexandria database
Functional: PBE
Structure: optimized geometry

```
data_CaGa3PtAu
_chemical_formula_sum 'Ca4 Ga12 Pt4 Au4'
_space_group_name_H-M_alt 'C m c m'
_space_group_IT_number 63
_space_group_name_Hall '-C 2c 2'
_cell_length_a 5.716
_cell_length_b 14.311
_cell_length_c 5.768
_cell_angle_alpha 90.00
_cell_angle_beta 90.00
_cell_angle_gamma 90.00
loop_
_atom_site_label
_atom_site_fract_x
_atom_site_fract_y
_atom_site_fract_z
_atom_site_occupancy
Ca1 0.000 0.206 0.250 1
Ga1 0.000 0.366 0.750 1
Ga2 0.220 0.000 0.000 1
Pt1 0.000 0.403 0.250 1
Au1 0.000 0.175 0.750 1
```

Output
Raw total energy ... -3.85 eV per atom
Calculated formation energy ... -0.446 eV/atom


Record 8
Compound: ScAgTe2N
Source: the Alexandria database
Functional: PBE
Structure: optimized geometry

```
data_ScAgTe2N
_chemical_formula_sum 'Sc1 Ag1 Te2 N1'
_space_group_name_H-M_alt 'P 4/m m m'
_space_group_IT_number 123
_space_group_name_Hall '-P 4 2'
_cell_length_a 5.781
_cell_length_b 5.781
_cell_length_c 3.868
_cell_angle_alpha 90.00
_cell_angle_beta 90.00
_cell_angle_gamma 90.00
loop_
_atom_site_label
_atom_site_fract_x
_atom_site_fract_y
_atom_site_fract_z
_atom_site_occupancy
Sc1 0.000 0.000 0.000 1
Ag1 0.500 0.500 0.500 1
Te1 0.000 0.500 0.000 1
N1 0.000 0.000 0.500 1
```

Output
Raw total energy ... -4.54 eV per atom
ΔE_f (raw) ... 0.22 eV per atom
ΔE to the lowest computed polymorph ... 292.1 meV/atom


Record 9
Compound: Cs2MgCrCl6
Source: the Alexandria database
Functional: PBE
Structure: optimized geometry

```
data_Cs2MgCrCl6
_chemical_formula_sum 'Cs12 Mg6 Cr6 Cl36'
_space_group_name_H-M_alt 'R -3 m'
_space_group_IT_number 166
_space_group_name_Hall '-R 3 2"'
_cell_length_a 7.3408
_cell_length_b 7.3408
_cell_length_c 36.1733
_cell_angle_alpha 90.00
_cell_angle_beta 90.00
_cell_angle_gamma 120.00
loop_
_atom_site_label
_atom_site_fract_x
_atom_site_fract_y
_atom_site_fract_z
_atom_site_occupancy
Cs1 0.0000 0.0000 0.1250 1
Cs2 0.0000 0.0000 0.2905 1
Mg1 0.0000 0.0000 0.0000 1
Mg2 0.0000 0.0000 0.5000 1
Cr1 0.0000 0.0000 0.4121 1
Cl1 0.9996 0.4998 0.2928 1
Cl2 0.0258 0.5129 0.1231 1
```

Output
Raw total energy ... -4.05 eV per atom
ΔE_f (raw) ... -1.65 eV per atom


Record 10
Compound: InAsAu2
Source: the Alexandria database
Functional: PBE
Structure: optimized geometry

```
data_InAsAu2
_chemical_formula_sum 'In1 As1 Au2'
_space_group_name_H-M_alt 'P 4/m m m'
_space_group_IT_number 123
_space_group_name_Hall '-P 4 2'
_cell_length_a 3.163
_cell_length_b 3.163
_cell_length_c 7.923
_cell_angle_alpha 90.00
_cell_angle_beta 90.00
_cell_angle_gamma 90.00
loop_
_atom_site_label
_atom_site_fract_x
_atom_site_fract_y
_atom_site_fract_z
_atom_site_occupancy
In1 0.000 0.000 0.000 1
As1 0.000 0.000 0.500 1
Au1 0.500 0.500 0.259 1
```

Output
Raw total energy ... -3.37 eV per atom
Calculated formation energy ... 0.113 eV/atom


Record 11
Compound: PaAlGa2Pd4
Source: the Alexandria database
Functional: PBE
Structure: optimized geometry

```
data_PaAlGa2Pd4
_chemical_formula_sum 'Pa3 Al3 Ga6 Pd12'
_space_group_name_H-M_alt 'R -3 m'
_space_group_IT_number 166
_space_group_name_Hall '-R 3 2"'
_cell_length_a 4.3407
_cell_length_b 4.3407
_cell_length_c 25.0351
_cell_angle_alpha 90.00
_cell_angle_beta 90.00
_cell_angle_gamma 120.00
loop_
_atom_site_label
_atom_site_fract_x
_atom_site_fract_y
_atom_site_fract_z
_atom_site_occupancy
Pa1 0.0000 0.0000 0.0000 1
Al1 0.0000 0.0000 0.5000 1
Ga1 0.0000 0.0000 0.2459 1
Pd1 0.0000 0.0000 0.1340 1
Pd2 0.0000 0.0000 0.3976 1
```

Output
Raw total energy ... -5.67 eV per atom
Calculated formation energy ... -0.660 eV/atom


Record 12
Compound: Ac4CoSeI2
Source: the Alexandria database
Functional: PBE
Structure: optimized geometry

```
data_Ac4CoSeI2
_chemical_formula_sum 'Ac4 Co1 Se1 I2'
_space_group_name_H-M_alt 'P 1 2/m 1'
_space_group_IT_number 10
_cell_length_a 8.141
_cell_length_b 4.276
_cell_length_c 8.739
_cell_angle_alpha 90.00
_cell_angle_beta 106.23
_cell_angle_gamma 90.00
loop_
_space_group_symop_operation_xyz
'x,y,z'
'-x,-y,-z'
'-x,y,-z'
'x,-y,z'
loop_
_atom_site_label
_atom_site_fract_x
_atom_site_fract_y
_atom_site_fract_z
_atom_site_occupancy
Ac1 0.197 0.000 0.182 1
Ac2 0.246 0.500 0.803 1
Co1 0.000 0.500 0.000 1
Se1 0.500 0.000 0.000 1
I1 0.000 0.000 0.500 1
I2 0.500 0.500 0.500 1
```

Output
Raw total energy ... -4.76 eV per atom
ΔE_f (raw) ... -0.99 eV per atom


Calculated M_tot (μB per atom), listed in the same order as above: 0.00, 1.84, 0.00, 0.00, 0.00, 0.00, 0.00, 0.00, 0.40, 0.00, 0.00, 0.00